## KPt2Se (PBE)

Data for crystalline KPt2Se at its relaxed geometry.

The value obtained for the uncorrected formation energy is 0.105 eV/atom. The calculation puts the density of states at the Fermi level at 3.06 states/eV per cell. The value obtained for the calculated total energy is -4.06 eV per atom.

The space group is Pmmm (No. 47) and the conventional cell measures 2.8829, 4.8255 and 5.6188 Å, with angles of 90.00, 90.00 and 90.00 degrees. The inequivalent atoms are K at (0.0000, 0.0000, 0.0000), Pt at (0.5000, 0.5000, 0.2586) and Se at (0.5000, 0.0000, 0.5000).

---

## AcNd3Tl4 (PBE)

Data for crystalline AcNd3Tl4 at its relaxed geometry.

The calculation puts the density of states at the Fermi level at 14.42 states/eV per cell. The distance to the lowest polymorph of the same formula comes out at 136 meV per atom. The value obtained for the calculated total energy is -3.72 eV per atom.

The space group is Pmn2_1 (No. 31) and the conventional cell measures 11.8481, 6.6023 and 6.6481 Å, with angles of 90.00, 90.00 and 90.00 degrees. The inequivalent atoms are Ac at (0.0000, 0.0751, 0.0000), Nd at (0.0000, 0.5721, 0.2566), Nd at (0.2435, 0.3136, 0.4730), Tl at (0.0000, 0.0986, 0.5018), Tl at (0.0000, 0.5712, 0.7606) and Tl at (0.2121, 0.8086, 0.4734).

---

## LaYS (PBE)

Data for crystalline LaYS at its relaxed geometry.

The value obtained for the uncorrected formation energy is -1.293 eV/atom. The calculation puts the density of states at the Fermi level at 6.20 states/eV per cell. The distance to the lowest polymorph of the same formula comes out at 0 meV per atom. The value obtained for the calculated total energy is -6.47 eV per atom.

The space group is Pmmn (No. 59, origin choice 2) and the conventional cell measures 3.8826, 5.4921 and 8.0051 Å, with angles of 90.00, 90.00 and 90.00 degrees. The inequivalent atoms are La at (0.2500, 0.2500, 0.1103), Y at (0.2500, 0.2500, 0.6210) and S at (0.2500, 0.7500, 0.6164).